[1]
# Ir3Au

An optimized crystal structure of Ir3Au (PBE, Alexandria).

```
4
Lattice="2.767 0.000 0.000 -1.384 2.396 0.000 0.000 0.000 9.321" Properties=species:S:1:pos:R:3 pbc="T T T"
Au 0.000 0.000 0.000
Ir 0.000 0.000 4.661
Ir 0.000 1.598 2.469
Ir 0.000 1.598 6.852
```

uncorrected energy	-7.229	eV per atom

[2]
# Ac7Tb4Nd

An optimized crystal structure of Ac7Tb4Nd (PBE, Alexandria).

```
12
Lattice="-3.285 -0.141 6.294 -6.111 -6.111 3.944 6.309 -7.050 3.242" Properties=species:S:1:pos:R:3 pbc="T T T"
Ac 0.367 -9.842 9.725
Ac -3.453 -3.460 3.756
Ac 2.042 -6.242 3.430
Ac -5.128 -7.060 10.051
Ac -2.222 -9.130 7.188
Ac -1.643 -0.071 3.147
Ac -0.865 -4.172 6.293
Tb -3.963 -5.909 6.758
Tb 0.877 -7.393 6.723
Tb -3.289 -10.236 10.719
Tb 0.202 -3.066 2.762
Nd 0.000 0.000 0.000
```

uncorrected energy	-4.211	eV per atom

[3]
# Zr2Co2Cu

An optimized crystal structure of Zr2Co2Cu (PBE, Alexandria).

```
5
Lattice="3.460 0.000 0.000 0.000 3.460 0.000 1.730 1.730 7.047" Properties=species:S:1:pos:R:3 pbc="T T T"
Co 3.460 1.730 3.524
Co 1.730 3.460 3.524
Cu 0.000 0.000 0.000
Zr 1.730 1.730 1.617
Zr 3.460 3.460 5.430
```

relative energy among the computed polymorphs	369	meV per atom
uncorrected energy	-6.990	eV per atom

[4]
# Cs2ScCoBr6

An optimized crystal structure of Cs2ScCoBr6 (PBE, Alexandria).

```
10
Lattice="-4.582 -5.307 -2.975 6.055 -4.344 -1.575 0.313 -7.166 2.550" Properties=species:S:1:pos:R:3 pbc="T T T"
Cs -1.766 -8.649 -1.350
Cs 3.552 -8.168 -0.650
Sc 0.736 -4.826 -2.275
Co 0.000 0.000 0.000
Br 0.524 -5.999 0.144
Br 1.262 -10.818 -2.144
Br 0.368 -2.410 -1.136
Br 1.105 -7.241 -3.414
Br -1.926 -5.067 -2.626
Br 3.399 -4.585 -1.925
```

formation energy without anion corrections	-1.341	eV per atom
uncorrected energy	-3.859	eV per atom